# 1
{
  "formula": "PmGdAg",
  "functional": "PBE-GGA",
  "state": "optimized geometry",
  "e_above_lowest_polymorph_ev_per_atom": 0.3021,
  "magnetic_moment_mub_per_atom": 0.00,
  "ef_ev_per_atom": 0.471,
  "energy_ev_per_atom": -3.60,
  "volume_a3_per_atom": 28.99,
  "crystal_system": "cubic",
  "lattice": [[-3.0872, -2.9264, -2.5762], [-4.7344, -0.4972, 1.4384], [-3.6481, 2.0130, -2.7149]],
  "species": ["Gd", "Ag", "Pm"],
  "fractional_positions": [[0.0000, 0.0000, 0.0000], [0.2500, 0.2500, 0.2500], [0.7500, 0.7500, 0.7500]]
}



# 2
{
  "formula": "PmGdAg2",
  "functional": "PBE-GGA",
  "state": "optimized geometry",
  "magnetic_moment_mub_per_atom": 0.01,
  "ef_ev_per_atom": -0.298,
  "energy_ev_per_atom": -4.06,
  "volume_a3_per_atom": 25.06,
  "crystal_system": "tetragonal",
  "lattice": [[-3.1694, -1.2790, -3.9471], [-3.8514, -0.9408, 3.3974], [-1.0869, 3.5027, -0.2622]],
  "species": ["Gd", "Pm", "Ag", "Ag"],
  "fractional_positions": [[0.0000, 0.0000, 0.5000], [0.5000, 0.5000, 0.5000], [0.5000, 0.0000, 0.0000], [0.0000, 0.5000, 0.0000]]
}



# 3
{
  "formula": "PrGdAg",
  "functional": "PBE-GGA",
  "state": "optimized geometry",
  "magnetic_moment_mub_per_atom": 0.00,
  "ef_ev_per_atom": 0.437,
  "energy_ev_per_atom": -3.65,
  "volume_a3_per_atom": 29.67,
  "crystal_system": "cubic",
  "lattice": [[0.0000, 3.5440, 3.5440], [3.5440, 0.0000, 3.5440], [3.5440, 3.5440, 0.0000]],
  "species": ["Gd", "Pr", "Ag"],
  "fractional_positions": [[0.0000, 0.0000, 0.0000], [0.7500, 0.7500, 0.7500], [0.2500, 0.2500, 0.2500]]
}



# 4
{
  "formula": "PrGdAg2Sb4",
  "functional": "PBE-GGA",
  "state": "optimized geometry",
  "magnetic_moment_mub_per_atom": 0.00,
  "energy_ev_per_atom": -4.61,
  "volume_a3_per_atom": 25.42,
  "crystal_system": "tetragonal",
  "lattice": [[4.3901, 0.0000, 0.0000], [0.0000, 4.3901, 0.0000], [0.0000, 0.0000, 10.5523]],
  "species": ["Ag", "Ag", "Sb", "Sb", "Sb", "Sb", "Pr", "Gd"],
  "fractional_positions": [[0.5000, 0.0000, 0.0037], [0.0000, 0.5000, 0.0037], [0.5000, 0.5000, 0.1833], [0.0000, 0.0000, 0.8240], [0.5000, 0.0000, 0.4942], [0.0000, 0.5000, 0.4942], [0.5000, 0.5000, 0.7363], [0.0000, 0.0000, 0.2607]]
}